# SrLa3Ir (PBE-GGA, optimized geometry)
data_SrLa3Ir
_cell_length_a 7.169
_cell_length_b 9.078
_cell_length_c 11.361
_cell_angle_alpha 90.00
_cell_angle_beta 90.00
_cell_angle_gamma 90.00
_space_group_name_H-M_alt 'P n m a'
_space_group_IT_number 62
loop_
_space_group_symop_operation_xyz
'x,y,z'
'-x,-y,-z'
'-x+1/2,-y,z+1/2'
'x+1/2,y,-z+1/2'
'x+1/2,-y+1/2,-z+1/2'
'-x+1/2,y+1/2,z+1/2'
'-x,y+1/2,-z'
'x,-y+1/2,z'
loop_
_atom_site_label
_atom_site_type_symbol
_atom_site_fract_x
_atom_site_fract_y
_atom_site_fract_z
Sr1 Sr 0.000 0.000 0.000
La1 La 0.018 0.063 0.353
La2 La 0.228 0.250 0.737
Ir1 Ir 0.079 0.750 0.450
# DOS at the Fermi energy (states/eV/f.u.): 5.760
# DFT formation energy (eV per formula unit): -0.786
# Total magnetic moment (μB/f.u.): 0.0
# E_tot (eV/atom): -5.22